The following is a PBE-GGA calculation of a relaxed BeCr2W crystal, from Alexandria.

Lattice parameters (Å, degrees): 3.9329 3.4986 3.4986 90.00 90.00 90.00
Closest atoms and distances in Å follow each position.
Fractional positions:
Be1 0.5000 0.0000 0.5000  4 W 2.47, 8 Cr 2.63
Cr1 0.0000 0.5000 0.5000  4 Cr 2.47, 4 W 2.63, 4 Be 2.63
W1 0.5000 0.5000 0.0000  4 Be 2.47, 8 Cr 2.63
Cr2 0.0000 0.0000 0.0000  4 Cr 2.47, 4 W 2.63, 4 Be 2.63

Values from the calculation:
space-group type	P4/mmm
DFT formation energy	167	meV per atom

The following is a PBE-GGA calculation of a relaxed BeCrW3 crystal, from Alexandria.

Lattice parameters (Å, degrees): 4.1987 4.1987 4.1987 90.00 90.00 90.00
Closest atoms and distances in Å follow each position.
Fractional positions:
W1 0.5000 0.0000 0.0000  2 Be 2.10
Be1 0.0000 0.0000 0.0000  6 W 2.10
W2 0.0000 0.5000 0.0000  2 Be 2.10
W3 0.0000 0.0000 0.5000  2 Be 2.10
Cr1 0.5000 0.5000 0.5000  12 W 2.97

Values from the calculation:
space-group type	Pm-3m
DFT formation energy	1017	meV per atom
E above lowest polymorph	0	meV/atom

The following is a PBE-GGA calculation of a relaxed Be4CrW crystal, from Alexandria.

Lattice parameters (Å, degrees): 4.3392 4.3392 4.3392 60.00 60.00 60.00
Closest atoms and distances in Å follow each position.
Fractional positions:
Be1 0.3751 0.3751 0.3751  6 Be 2.17
Be2 0.3751 0.8748 0.3751  6 Be 2.17
Cr1 0.7500 0.7500 0.7500  12 Be 2.54, 4 W 2.66
Be3 0.8748 0.3751 0.3751  6 Be 2.17
Be4 0.3751 0.3751 0.8748  6 Be 2.17
W1 0.0000 0.0000 0.0000  12 Be 2.54, 4 Cr 2.66

Values from the calculation:
space-group type	F-43m
DFT formation energy	-262	meV per atom

The following is a PBE-GGA calculation of a relaxed BeCrW2 crystal, from Alexandria.

Lattice parameters (Å, degrees): 2.6619 2.6619 7.9186 90.00 90.00 107.06
Closest atoms and distances in Å follow each position.
Fractional positions:
W1 0.0000 0.0000 0.0139  2 Be 2.45, 2 Cr 2.62, 4 W 2.66
Be1 0.5000 0.5000 0.2500  4 W 2.45, 4 Be 2.66
W2 0.0000 0.0000 0.4861  2 Be 2.45, 2 Cr 2.62, 4 W 2.66
Cr1 0.5000 0.5000 0.7500  4 W 2.62, 4 Cr 2.66

Values from the calculation:
space-group type	Cmmm
DFT formation energy	172	meV per atom

The following is a PBE-GGA calculation of a relaxed BeCrW2 crystal, from Alexandria.

Lattice parameters (Å, degrees): 4.3618 4.3618 4.3618 125.15 125.15 81.29
Closest atoms and distances in Å follow each position.
Fractional positions:
Cr1 0.7500 0.2500 0.5000  8 W 2.60, 4 Be 2.84
W1 0.0000 0.0000 0.0000  4 Cr 2.60, 4 Be 2.60, 4 W 2.84
W2 0.5000 0.5000 0.0000  4 Be 2.60, 4 Cr 2.60, 4 W 2.84
Be1 0.2500 0.7500 0.5000  8 W 2.60, 4 Cr 2.84

Values from the calculation:
space-group type	I4/mmm
DFT formation energy	265	meV per atom

The following is a PBE-GGA calculation of a relaxed BeCrW2 crystal, from Alexandria.

Lattice parameters (Å, degrees): 2.6343 2.6343 7.7458 90.00 90.00 90.00
Closest atoms and distances in Å follow each position.
Fractional positions:
W1 0.5000 0.5000 0.2888  4 Be 2.55, 4 W 2.63
W2 0.0000 0.0000 0.9871  4 W 2.63, 4 Cr 2.84
Be1 0.0000 0.0000 0.5136  4 Cr 2.41, 4 W 2.55, 4 Be 2.63
Cr1 0.5000 0.5000 0.7105  4 Be 2.41, 4 Cr 2.63

Values from the calculation:
space-group type	P4mm
DFT formation energy	310	meV per atom

The following is a PBE-GGA calculation of a relaxed BeCr2W crystal, from Alexandria.

Lattice parameters (Å, degrees): 2.5762 2.5762 7.6424 90.00 90.00 105.96
Closest atoms and distances in Å follow each position.
Fractional positions:
Cr1 0.0000 0.0000 0.9699  2 Be 2.29
W1 0.5000 0.5000 0.2500  4 W 2.58, 4 Cr 2.64
Cr2 0.0000 0.0000 0.5301  2 Be 2.29
Be1 0.5000 0.5000 0.7500  4 Cr 2.29

Values from the calculation:
space-group type	Cmmm
DFT formation energy	167	meV per atom

The following is a PBE-GGA calculation of a relaxed BeCr2W crystal, from Alexandria.

Lattice parameters (Å, degrees): 4.8464 4.8464 2.5550 79.50 79.50 118.40
Closest atoms and distances in Å follow each position.
Fractional positions:
Cr1 0.5000 0.5000 0.0000  4 Cr 2.48-2.55, 2 W 2.52, 2 Be 2.52
Cr2 0.0000 0.0000 0.0000  4 Cr 2.48-2.55, 2 Be 2.52, 2 W 2.52
Be1 0.0000 0.5000 0.5000  2 W 2.48, 4 Cr 2.52, 2 Be 2.55
W1 0.5000 0.0000 0.5000  2 Be 2.48, 4 Cr 2.52, 2 W 2.55

Values from the calculation:
space-group type	C2/m
DFT formation energy	188	meV per atom

The following is a PBE-GGA calculation of a relaxed BeCr2W crystal, from Alexandria.

Lattice parameters (Å, degrees): 3.0378 3.0379 5.2290 90.00 90.00 90.00
Closest atoms and distances in Å follow each position.
Fractional positions:
Cr1 0.0000 0.0000 0.9612  1 Cr 2.21, 4 Be 2.42
Cr2 0.0000 0.0000 0.5387  1 Cr 2.21, 4 Be 2.42
W1 0.5000 0.5000 0.2500  2 Be 2.61, 8 Cr 2.63
Be1 0.5000 0.5000 0.7500  8 Cr 2.42, 2 W 2.61

Values from the calculation:
space-group type	P4/mmm
DFT formation energy	83	meV per atom

The following is a PBE-GGA calculation of a relaxed BeCr4W crystal, from Alexandria.

Lattice parameters (Å, degrees): 4.7120 4.7120 4.7120 60.00 60.00 60.00
Closest atoms and distances in Å follow each position.
Fractional positions:
Cr1 0.3738 0.8785 0.3738  6 Cr 2.33-2.38
W1 0.7500 0.7500 0.7500  12 Cr 2.77, 4 Be 2.89
Cr2 0.8785 0.3738 0.3738  6 Cr 2.33-2.38
Cr3 0.3738 0.3738 0.3738  6 Cr 2.33-2.38
Cr4 0.3738 0.3738 0.8785  6 Cr 2.33-2.38
Be1 0.0000 0.0000 0.0000  12 Cr 2.76, 4 W 2.89

Values from the calculation:
space-group type	F-43m
DFT formation energy	157	meV per atom

The following is a PBE-GGA calculation of a relaxed Be3CrW crystal, from Alexandria.

Lattice parameters (Å, degrees): 3.8536 3.8536 3.8536 90.00 90.00 90.00
Closest atoms and distances in Å follow each position.
Fractional positions:
Be1 0.0000 0.0000 0.5000  2 Cr 1.93
Be2 0.0000 0.5000 0.0000  2 Cr 1.93
Cr1 0.0000 0.0000 0.0000  6 Be 1.93
Be3 0.5000 0.0000 0.0000  2 Cr 1.93
W1 0.5000 0.5000 0.5000  12 Be 2.72

Values from the calculation:
space-group type	Pm-3m
DFT formation energy	1161	meV per atom
E above lowest polymorph	0	meV/atom

The following is a PBE-GGA calculation of a relaxed BeCr2W crystal, from Alexandria.

Lattice parameters (Å, degrees): 4.1188 4.1188 4.1188 60.00 60.00 60.00
Closest atoms and distances in Å follow each position.
Fractional positions:
Cr1 0.2500 0.2500 0.2500  4 Be 2.52, 4 Cr 2.52
W1 0.7500 0.7500 0.7500  4 Cr 2.52, 4 Be 2.52
Be1 0.5000 0.5000 0.5000  4 W 2.52, 4 Cr 2.52
Cr2 0.0000 0.0000 0.0000  4 Cr 2.52, 4 W 2.52

Values from the calculation:
space-group type	F-43m
DFT formation energy	229	meV per atom

The following is a PBE-GGA calculation of a relaxed Y2BeCrW crystal, from Alexandria.

Lattice parameters (Å, degrees): 4.9966 4.1585 4.9966 90.00 90.00 90.00
Closest atoms and distances in Å follow each position.
Fractional positions:
W1 0.5000 0.5000 0.5000  8 Y 3.25, 4 Be 3.53
Y1 0.0000 0.0000 0.5000  2 Cr 2.50
Y2 0.5000 0.0000 0.0000  2 Cr 2.50
Cr1 0.0000 0.0000 0.0000  2 Be 2.08
Be1 0.0000 0.5000 0.0000  2 Cr 2.08

Values from the calculation:
space-group type	P4/mmm
DFT formation energy	1352	meV per atom

The following is a PBE-GGA calculation of a relaxed YBe2Cr crystal, from Alexandria.

Lattice parameters (Å, degrees): 5.5245 5.5245 5.5245 144.03 140.25 54.68
Closest atoms and distances in Å follow each position.
Fractional positions:
Be1 0.8447 0.3447 0.5000  2 Be 2.07, 2 Cr 2.27
Y1 0.2170 0.7170 0.5000  8 Be 2.83-3.06, 4 Cr 3.03-3.05
Cr1 0.4748 0.4748 0.0000  6 Be 2.27-2.54
Be2 0.9634 0.9634 0.0000  2 Be 2.07

Values from the calculation:
space-group type	Imm2
DFT formation energy	344	meV per atom
E above lowest polymorph	210	meV/atom

The following is a PBE-GGA calculation of a relaxed YBe2Cr crystal, from Alexandria.

Lattice parameters (Å, degrees): 4.4922 4.4922 4.4922 120.06 120.06 89.89
Closest atoms and distances in Å follow each position.
Fractional positions:
Be1 0.2500 0.7500 0.5000  4 Cr 2.75, 4 Be 2.75
Y1 0.7500 0.2500 0.5000  4 Be 2.75, 4 Cr 2.75
Cr1 0.5000 0.5000 0.0000  4 Y 2.75, 4 Be 2.75
Be2 0.0000 0.0000 0.0000  4 Be 2.75, 4 Y 2.75

Values from the calculation:
space-group type	F-43m
DFT formation energy	498	meV per atom
E above lowest polymorph	364	meV/atom

The following is a PBE-GGA calculation of a relaxed Y3BeCr crystal, from Alexandria.

Lattice parameters (Å, degrees): 5.1827 5.1827 5.1827 90.00 90.00 90.00
Closest atoms and distances in Å follow each position.
Fractional positions:
Be1 0.5000 0.5000 0.5000  12 Y 3.66
Y1 0.0000 0.0000 0.5000  2 Cr 2.59
Y2 0.5000 0.0000 0.0000  2 Cr 2.59
Cr1 0.0000 0.0000 0.0000  6 Y 2.59
Y3 0.0000 0.5000 0.0000  2 Cr 2.59

Values from the calculation:
space-group type	Pm-3m
DFT formation energy	774	meV per atom
E above lowest polymorph	0	meV/atom

The following is a PBE-GGA calculation of a relaxed Y2Be2Cr crystal, from Alexandria.

Lattice parameters (Å, degrees): 6.5809 6.5809 4.2125 90.00 90.00 90.00
Closest atoms and distances in Å follow each position.
Fractional positions:
Y1 0.8168 0.3168 0.5000  6 Be 2.78-2.94
Be1 0.3782 0.8782 0.0000  1 Be 2.27
Be2 0.8782 0.6218 0.0000  1 Be 2.27
Y2 0.3168 0.1832 0.5000  6 Be 2.78-2.94
Y3 0.1832 0.6832 0.5000  6 Be 2.78-2.94
Cr1 0.0000 0.0000 0.0000  4 Be 2.62
Be3 0.1218 0.3782 0.0000  1 Be 2.27
Y4 0.6832 0.8168 0.5000  6 Be 2.78-2.94
Cr2 0.5000 0.5000 0.0000  4 Be 2.62
Be4 0.6218 0.1218 0.0000  1 Be 2.27

Values from the calculation:
space-group type	P4/mbm
DFT formation energy	416	meV per atom

The following is a PBE-GGA calculation of a relaxed YBeCr2 crystal, from Alexandria.

Lattice parameters (Å, degrees): 5.2535 5.2535 5.2535 146.29 126.10 65.10
Closest atoms and distances in Å follow each position.
Fractional positions:
Y1 0.7500 0.2500 0.5000  4 Be 2.83, 8 Cr 2.97-3.03, 2 Y 3.05
Be1 0.2500 0.7500 0.5000  4 Cr 2.42
Cr1 0.0378 0.0378 0.0000  2 Be 2.42
Cr2 0.4622 0.4622 0.0000  2 Be 2.42

Values from the calculation:
space-group type	Immm
DFT formation energy	599	meV per atom

The following is a PBE-GGA calculation of a relaxed YBeCr2 crystal, from Alexandria.

Lattice parameters (Å, degrees): 4.3792 5.2201 2.9917 74.93 86.36 113.66
Closest atoms and distances in Å follow each position.
Fractional positions:
Cr1 0.0000 0.0000 0.0000  4 Cr 2.57-2.73, 2 Be 2.65, 2 Y 2.65
Cr2 0.5000 0.0000 0.5000  4 Cr 2.57-2.73, 2 Y 2.65, 2 Be 2.65
Be1 0.5000 0.5000 0.0000  4 Y 2.57-2.73, 4 Cr 2.65
Y1 0.0000 0.5000 0.5000  4 Be 2.57-2.73, 4 Cr 2.65

Values from the calculation:
space-group type	C2/m
DFT formation energy	776	meV per atom

The following is a PBE-GGA calculation of a relaxed YBeCr3 crystal, from Alexandria.

Lattice parameters (Å, degrees): 4.8769 4.8769 4.8769 90.00 90.00 90.00
Closest atoms and distances in Å follow each position.
Fractional positions:
Cr1 0.0000 0.5000 0.0000  2 Y 2.44
Y1 0.0000 0.0000 0.0000  6 Cr 2.44
Be1 0.5000 0.5000 0.5000  12 Cr 3.45
Cr2 0.5000 0.0000 0.0000  2 Y 2.44
Cr3 0.0000 0.0000 0.5000  2 Y 2.44

Values from the calculation:
space-group type	Pm-3m
DFT formation energy	2335	meV per atom